PBE+U Ba2TlFeO5, relaxed; total moment = 0.550 μB per atom; E_tot = -5.842 eV per atom
1.0
-3.5152 0.6640 -0.0376
0.4388 -7.1032 3.7248
0.8662 5.1344 9.6893
Ba Tl Fe O
4 2 2 10
direct
0.8723 0.7445 0.8144 Ba
0.1116 0.2232 0.6808 Ba
0.1277 0.2555 0.3144 Ba
0.8884 0.7768 0.1808 Ba
0.7861 0.5721 0.5232 Tl
0.2139 0.4279 0.0232 Tl
0.5528 0.1057 0.9461 Fe
0.4472 0.8943 0.4461 Fe
0.3535 0.7070 0.0010 O
0.6721 0.3442 0.8891 O
0.5014 0.0028 0.7939 O
0.2919 0.5839 0.6574 O
0.9588 0.9176 0.5181 O
0.6465 0.2930 0.5010 O
0.3279 0.6558 0.3891 O
0.4986 0.9972 0.2939 O
0.7081 0.4161 0.1574 O
0.0412 0.0824 0.0181 O